Compound: Fe2O3
Source: Alexandria
Functional: PBE with a Hubbard U
Structure: optimized geometry

Crystal system   orthorhombic
V   290.4 Å³/cell
Total magnetization   40.0 μB/cell
Raw total energy   -6.5122 eV/atom
Fermi-level density of states   0.000 states/eV/atom

Cell: 10.9851 6.5451 4.0388 Å, 90.00 90.00 90.00°
With the nearest neighbours (Å) after each atom.
Space group Cmcm (No. 63)
Inequivalent atoms, fractional coordinates:
1 Fe 0.1607 0.1703 0.2500  3 O 1.82-2.04
2 O 0.0000 0.2400 0.2500  2 Fe 1.82
3 O 0.1997 0.1345 0.7500  4 Fe 2.00-2.08